1.
Computed, not measured: an optimized crystal structure of La3HgCl at the PBE level of DFT.

Lattice parameters (Å, degrees): 5.4498 5.4498 5.4498 90.00 90.00 90.00
Space group Pm-3m (No. 221)
Unique sites:
La  0.0000  0.0000  0.5000 (multiplicity 3)
Hg  0.5000  0.5000  0.5000 (multiplicity 1)
Cl  0.0000  0.0000  0.0000 (multiplicity 1)

Properties
VASP energy (eV per atom): -4.00
Formation energy without anion corrections (eV/atom): -0.62
Relative energy among the computed polymorphs (kcal/mol of atoms): 0.00
DOS(E_F) (states/eV/cell): 3.82
Volume (Å³/f.u.): 161.86


2.
Computed, not measured: an optimized crystal structure of La4HgCl4 at the PBE level of DFT.

Lattice parameters (Å, degrees): 9.4850 9.4850 5.8062 90.00 90.00 90.00
Space group I4/m (No. 87)
Unique sites:
La  0.0928  0.3217  0.0000 (multiplicity 8)
Hg  0.0000  0.0000  0.0000 (multiplicity 2)
Cl  0.1077  0.2825  0.5000 (multiplicity 8)

Properties
VASP energy (eV per atom): -4.42
Formation energy without anion corrections (eV/atom): -1.37
DOS(E_F) (states/eV/cell): 17.46
Volume (Å³/f.u.): 261.18


Number 2 is which compound?
La4HgCl4